Record 1
The following is a DFT calculation (PBE-GGA) of a relaxed K2YW crystal. Values from VASP.

Calculated total energy: -16.2 eV per cell
ΔH_f (0 K): 1.342 eV per atom
Polymorph energy (0 for the lowest one): 0.395 eV per atom

Cell and atoms, written as Quantum ESPRESSO input:
```
&SYSTEM
  ibrav = 0, nat = 4, ntyp = 3
/
ATOMIC_SPECIES
K 39.10 K.upf
Y 88.91 Y.upf
W 183.84 W.upf
CELL_PARAMETERS angstrom
1.5781 0.9111 13.3609
-1.5781 0.9111 13.3609
0.0000 -1.8223 13.3609
ATOMIC_POSITIONS crystal
K 0.2420 0.2420 0.2420
K 0.7580 0.7580 0.7580
Y 0.0000 0.0000 0.0000
W 0.5000 0.5000 0.5000
```

***

Record 2
The following is a DFT calculation (PBE-GGA) of a relaxed KYW2 crystal. Values from VASP.

Calculated total energy: -30.2 eV per cell
ΔH_f (0 K): 0.817 eV per atom
Polymorph energy (0 for the lowest one): 0.146 eV per atom

Cell and atoms, written as Quantum ESPRESSO input:
```
&SYSTEM
  ibrav = 0, nat = 4, ntyp = 3
/
ATOMIC_SPECIES
K 39.10 K.upf
Y 88.91 Y.upf
W 183.84 W.upf
CELL_PARAMETERS angstrom
1.6585 -2.5619 0.0000
1.6585 2.5619 0.0000
0.0000 0.0000 11.3052
ATOMIC_POSITIONS crystal
K 0.0000 0.0000 0.0000
Y 0.5000 0.5000 0.3321
W 0.0000 0.0000 0.5556
W 0.5000 0.5000 0.7245
```

***

Record 3
The following is a DFT calculation (PBE-GGA) of a relaxed KYW2 crystal. Values from VASP.

Calculated total energy: -28.5 eV per cell
ΔH_f (0 K): 1.250 eV per atom
Polymorph energy (0 for the lowest one): 0.579 eV per atom

Cell and atoms, written as Quantum ESPRESSO input:
```
&SYSTEM
  ibrav = 0, nat = 4, ntyp = 3
/
ATOMIC_SPECIES
K 39.10 K.upf
Y 88.91 Y.upf
W 183.84 W.upf
CELL_PARAMETERS angstrom
1.4864 0.8582 11.5303
-1.4864 0.8582 11.5303
0.0000 -1.7164 11.5303
ATOMIC_POSITIONS crystal
K 0.0000 0.0000 0.0000
Y 0.5000 0.5000 0.5000
W 0.2433 0.2433 0.2433
W 0.7567 0.7567 0.7567
```

***

Record 4
The following is a DFT calculation (PBE-GGA) of a relaxed K2YW crystal. Values from VASP.

Calculated total energy: -16.4 eV per cell
ΔH_f (0 K): 1.293 eV per atom
Polymorph energy (0 for the lowest one): 0.345 eV per atom

Cell and atoms, written as Quantum ESPRESSO input:
```
&SYSTEM
  ibrav = 0, nat = 4, ntyp = 3
/
ATOMIC_SPECIES
K 39.10 K.upf
Y 88.91 Y.upf
W 183.84 W.upf
CELL_PARAMETERS angstrom
3.1617 -6.7650 0.0000
3.1617 6.7650 0.0000
-1.4674 0.0000 2.7297
ATOMIC_POSITIONS crystal
K 0.0000 0.5000 0.0000
K 0.5000 0.0000 0.0000
Y 0.0000 0.0000 0.5000
W 0.5000 0.5000 0.5000
```

***

Record 5
The following is a DFT calculation (PBE-GGA) of a relaxed K2YW crystal. Values from VASP.

Calculated total energy: -16.2 eV per cell
ΔH_f (0 K): 1.354 eV per atom
Polymorph energy (0 for the lowest one): 0.407 eV per atom

Cell and atoms, written as Quantum ESPRESSO input:
```
&SYSTEM
  ibrav = 0, nat = 4, ntyp = 3
/
ATOMIC_SPECIES
K 39.10 K.upf
Y 88.91 Y.upf
W 183.84 W.upf
CELL_PARAMETERS angstrom
1.6726 -2.5879 0.0000
1.6726 2.5879 0.0000
0.0000 0.0000 13.3572
ATOMIC_POSITIONS crystal
K 0.0000 0.0000 0.2249
K 0.0000 0.0000 0.7751
Y 0.5000 0.5000 0.5000
W 0.5000 0.5000 0.0000
```

***

Record 6
The following is a DFT calculation (PBE-GGA) of a relaxed K2YW crystal. Values from VASP.

Calculated total energy: -14.2 eV per cell
ΔH_f (0 K): 1.844 eV per atom
Polymorph energy (0 for the lowest one): 0.896 eV per atom

Cell and atoms, written as Quantum ESPRESSO input:
```
&SYSTEM
  ibrav = 0, nat = 4, ntyp = 3
/
ATOMIC_SPECIES
K 39.10 K.upf
Y 88.91 Y.upf
W 183.84 W.upf
CELL_PARAMETERS angstrom
0.0000 4.0773 4.0773
4.0773 0.0000 4.0773
4.0773 4.0773 0.0000
ATOMIC_POSITIONS crystal
K 0.2500 0.2500 0.2500
K 0.7500 0.7500 0.7500
Y 0.0000 0.0000 0.0000
W 0.5000 0.5000 0.5000
```

***

Record 7
The following is a DFT calculation (PBE-GGA) of a relaxed KYW2 crystal. Values from VASP.

Calculated total energy: -30.8 eV per cell
ΔH_f (0 K): 0.671 eV per atom
Polymorph energy (0 for the lowest one): 0.000 eV per atom

Cell and atoms, written as Quantum ESPRESSO input:
```
&SYSTEM
  ibrav = 0, nat = 4, ntyp = 3
/
ATOMIC_SPECIES
K 39.10 K.upf
Y 88.91 Y.upf
W 183.84 W.upf
CELL_PARAMETERS angstrom
3.3128 0.0000 0.0000
0.0000 3.3128 0.0000
0.0000 0.0000 10.0356
ATOMIC_POSITIONS crystal
K 0.0000 0.0000 0.0000
Y 0.5000 0.5000 0.6171
W 0.0000 0.0000 0.4177
W 0.5000 0.5000 0.2965
```

***

Record 8
The following is a DFT calculation (PBE-GGA) of a relaxed K2YW crystal. Values from VASP.

Calculated total energy: -17.8 eV per cell
ΔH_f (0 K): 0.947 eV per atom
Polymorph energy (0 for the lowest one): 0.000 eV per atom

Cell and atoms, written as Quantum ESPRESSO input:
```
&SYSTEM
  ibrav = 0, nat = 4, ntyp = 3
/
ATOMIC_SPECIES
K 39.10 K.upf
Y 88.91 Y.upf
W 183.84 W.upf
CELL_PARAMETERS angstrom
2.1598 -2.4473 0.0000
2.1598 2.4473 0.0000
0.0000 0.0000 12.7860
ATOMIC_POSITIONS crystal
K 0.0000 0.0000 0.0000
K 0.5000 0.5000 0.3308
Y 0.0000 0.0000 0.6206
W 0.5000 0.5000 0.7769
```